# Pu2Ga2Hg, relaxed, DFT PBE
# - Density: 12.40 g/cm3
# - Formation enthalpy at 0 K: -0.267 eV per atom
data_Pu2Ga2Hg
_cell_length_a 4.566
_cell_length_b 15.911
_cell_length_c 3.053
_cell_angle_alpha 90.00
_cell_angle_beta 90.00
_cell_angle_gamma 90.00
_symmetry_space_group_name_H-M 'C m m m'
_symmetry_Int_Tables_number 65
_symmetry_space_group_name_Hall '-C 2 2'
loop_
_atom_site_label
_atom_site_fract_x
_atom_site_fract_y
_atom_site_fract_z
_atom_site_occupancy
Pu1 0.000 0.119 0.000 1
Ga1 0.000 0.295 0.500 1
Hg1 0.000 0.500 0.500 1